#1
La3TbPm | GGA-PBE | relaxed Values from VASP.

- crystal system = orthorhombic
- V (A^3/atom) = 36.55

Quantum ESPRESSO input file:
```
&SYSTEM
  ibrav = 0, nat = 10, ntyp = 3
/
ATOMIC_SPECIES
La 138.91 La.upf
Tb 158.93 Tb.upf
Pm 145.00 Pm.upf
CELL_PARAMETERS angstrom
3.9578 -6.8605 0.0000
3.9578 6.8605 0.0000
0.0000 0.0000 6.7311
ATOMIC_POSITIONS crystal
La 0.1989 0.3983 0.7500
La 0.1991 0.8009 0.7500
La 0.3983 0.1989 0.2500
La 0.6017 0.8011 0.7500
La 0.8009 0.1991 0.2500
La 0.8011 0.6017 0.2500
Tb 0.3338 0.6662 0.2500
Tb 0.6662 0.3338 0.7500
Pm 0.0000 0.0000 0.0000
Pm 0.0000 0.0000 0.5000
```

#2
La3TbPm | GGA-PBE | relaxed Values from VASP.

- crystal system = orthorhombic
- V (A^3/atom) = 36.89

Quantum ESPRESSO input file:
```
&SYSTEM
  ibrav = 0, nat = 10, ntyp = 3
/
ATOMIC_SPECIES
La 138.91 La.upf
Tb 158.93 Tb.upf
Pm 145.00 Pm.upf
CELL_PARAMETERS angstrom
3.4405 -8.1968 0.0000
3.4405 8.1968 0.0000
0.0000 0.0000 6.5404
ATOMIC_POSITIONS crystal
La 0.0000 0.0000 0.0000
La 0.0000 0.0000 0.5000
La 0.0741 0.4067 0.2500
La 0.4067 0.0741 0.7500
La 0.5933 0.9259 0.2500
La 0.9259 0.5933 0.7500
Tb 0.4085 0.5915 0.7500
Tb 0.5915 0.4085 0.2500
Pm 0.1701 0.8299 0.2500
Pm 0.8299 0.1701 0.7500
```

#1 has the most favorable energy; the next structure is 0.025 eV/atom above.

#1
La2TbPm8 | GGA-PBE | relaxed Values from VASP.

- crystal system = monoclinic
- V (A^3/atom) = 34.74

Quantum ESPRESSO input file:
```
&SYSTEM
  ibrav = 0, nat = 11, ntyp = 3
/
ATOMIC_SPECIES
La 138.91 La.upf
Tb 158.93 Tb.upf
Pm 145.00 Pm.upf
CELL_PARAMETERS angstrom
9.3288 -2.5919 0.0000
9.3288 2.5919 0.0000
-2.1548 0.0000 7.9020
ATOMIC_POSITIONS crystal
La 0.2268 0.2268 0.1366
La 0.7732 0.7732 0.8634
Tb 0.5000 0.5000 0.5000
Pm 0.0442 0.0442 0.2285
Pm 0.1350 0.1350 0.6771
Pm 0.3193 0.3193 0.5923
Pm 0.4104 0.4104 0.0479
Pm 0.5896 0.5896 0.9521
Pm 0.6807 0.6807 0.4077
Pm 0.8650 0.8650 0.3229
Pm 0.9558 0.9558 0.7715
```

#2
La2TbPm8 | GGA-PBE | relaxed Values from VASP.

- crystal system = trigonal
- V (A^3/atom) = 35.19

Quantum ESPRESSO input file:
```
&SYSTEM
  ibrav = 0, nat = 11, ntyp = 3
/
ATOMIC_SPECIES
La 138.91 La.upf
Tb 158.93 Tb.upf
Pm 145.00 Pm.upf
CELL_PARAMETERS angstrom
7.0134 0.0000 0.0000
-3.5067 6.0737 0.0000
0.0000 0.0000 9.0880
ATOMIC_POSITIONS crystal
La 0.3333 0.6667 0.1510
La 0.6667 0.3333 0.8490
Tb 0.0000 0.0000 0.5000
Pm 0.1656 0.3312 0.8297
Pm 0.1656 0.8344 0.8297
Pm 0.3312 0.1656 0.1703
Pm 0.3333 0.6667 0.5040
Pm 0.6667 0.3333 0.4960
Pm 0.6688 0.8344 0.8297
Pm 0.8344 0.1656 0.1703
Pm 0.8344 0.6688 0.1703
```

#1 has the most favorable energy; the next structure is 0.150 eV/atom above.

#1
LaTb6Pm12 | GGA-PBE | relaxed Values from VASP.

- crystal system = trigonal
- V (A^3/atom) = 35.06

Quantum ESPRESSO input file:
```
&SYSTEM
  ibrav = 0, nat = 19, ntyp = 3
/
ATOMIC_SPECIES
La 138.91 La.upf
Tb 158.93 Tb.upf
Pm 145.00 Pm.upf
CELL_PARAMETERS angstrom
6.7436 3.8934 4.2280
-6.7436 3.8934 4.2280
0.0000 -7.7869 4.2280
ATOMIC_POSITIONS crystal
La 0.0000 0.0000 0.0000
Tb 0.0989 0.0989 0.6595
Tb 0.0989 0.6595 0.0989
Tb 0.3405 0.9011 0.9011
Tb 0.6595 0.0989 0.0989
Tb 0.9011 0.3405 0.9011
Tb 0.9011 0.9011 0.3405
Pm 0.0826 0.3550 0.3550
Pm 0.2402 0.5000 0.7598
Pm 0.2402 0.7598 0.5000
Pm 0.3550 0.0826 0.3550
Pm 0.3550 0.3550 0.0826
Pm 0.5000 0.2402 0.7598
Pm 0.5000 0.7598 0.2402
Pm 0.6450 0.6450 0.9174
Pm 0.6450 0.9174 0.6450
Pm 0.7598 0.2402 0.5000
Pm 0.7598 0.5000 0.2402
Pm 0.9174 0.6450 0.6450
```

#2
LaTb6Pm12 | GGA-PBE | relaxed Values from VASP.

- crystal system = trigonal
- V (A^3/atom) = 34.47

Quantum ESPRESSO input file:
```
&SYSTEM
  ibrav = 0, nat = 19, ntyp = 3
/
ATOMIC_SPECIES
La 138.91 La.upf
Tb 158.93 Tb.upf
Pm 145.00 Pm.upf
CELL_PARAMETERS angstrom
6.0822 3.5115 5.1103
-6.0822 3.5115 5.1103
0.0000 -7.0231 5.1103
ATOMIC_POSITIONS crystal
La 0.0000 0.0000 0.0000
Tb 0.0973 0.2594 0.6963
Tb 0.2594 0.6963 0.0973
Tb 0.3037 0.9027 0.7406
Tb 0.6963 0.0973 0.2594
Tb 0.7406 0.3037 0.9027
Tb 0.9027 0.7406 0.3037
Pm 0.0153 0.3605 0.1995
Pm 0.1995 0.0153 0.3605
Pm 0.2215 0.5668 0.4615
Pm 0.3605 0.1995 0.0153
Pm 0.4332 0.5385 0.7785
Pm 0.4615 0.2215 0.5668
Pm 0.5385 0.7785 0.4332
Pm 0.5668 0.4615 0.2215
Pm 0.6395 0.8005 0.9847
Pm 0.7785 0.4332 0.5385
Pm 0.8005 0.9847 0.6395
Pm 0.9847 0.6395 0.8005
```

#2 has the most favorable energy; the next structure is 0.057 eV/atom above.

#1
La3Tb2Pm2 | GGA-PBE | relaxed Values from VASP.

- crystal system = triclinic
- V (A^3/atom) = 34.83

Quantum ESPRESSO input file:
```
&SYSTEM
  ibrav = 0, nat = 7, ntyp = 3
/
ATOMIC_SPECIES
La 138.91 La.upf
Tb 158.93 Tb.upf
Pm 145.00 Pm.upf
CELL_PARAMETERS angstrom
3.6137 0.0000 0.0000
-0.0024 5.7151 0.0000
-1.8003 -2.8503 11.8049
ATOMIC_POSITIONS crystal
La 0.0000 0.0000 0.0000
La 0.2215 0.7214 0.4429
La 0.7785 0.2786 0.5571
Tb 0.1430 0.1438 0.2873
Tb 0.8570 0.8562 0.7127
Pm 0.4219 0.4217 0.8435
Pm 0.5781 0.5783 0.1565
```

#2
La3Tb2Pm2 | GGA-PBE | relaxed Values from VASP.

- crystal system = monoclinic
- V (A^3/atom) = 34.93

Quantum ESPRESSO input file:
```
&SYSTEM
  ibrav = 0, nat = 7, ntyp = 3
/
ATOMIC_SPECIES
La 138.91 La.upf
Tb 158.93 Tb.upf
Pm 145.00 Pm.upf
CELL_PARAMETERS angstrom
8.9552 -1.7819 0.0000
8.9552 1.7819 0.0000
-4.1831 0.0000 7.6610
ATOMIC_POSITIONS crystal
La 0.0000 0.0000 0.0000
La 0.2134 0.2134 0.2960
La 0.7866 0.7866 0.7040
Tb 0.1452 0.1452 0.8294
Tb 0.8548 0.8548 0.1706
Pm 0.4358 0.4358 0.5895
Pm 0.5642 0.5642 0.4105
```

#1 has the most favorable energy; the next structure is 0.064 eV/atom above.

#1
La8TbPm6 | GGA-PBE | relaxed Values from VASP.

- crystal system = trigonal
- V (A^3/atom) = 35.72

Quantum ESPRESSO input file:
```
&SYSTEM
  ibrav = 0, nat = 15, ntyp = 3
/
ATOMIC_SPECIES
La 138.91 La.upf
Tb 158.93 Tb.upf
Pm 145.00 Pm.upf
CELL_PARAMETERS angstrom
3.2022 1.8488 15.0827
-3.2022 1.8488 15.0827
0.0000 -3.6976 15.0827
ATOMIC_POSITIONS crystal
La 0.0339 0.3676 0.7013
La 0.1667 0.1667 0.1667
La 0.2987 0.9661 0.6324
La 0.3676 0.7013 0.0339
La 0.6324 0.2987 0.9661
La 0.7013 0.0339 0.3676
La 0.8333 0.8333 0.8333
La 0.9661 0.6324 0.2987
Tb 0.5000 0.5000 0.5000
Pm 0.1023 0.7662 0.4344
Pm 0.2338 0.5656 0.8977
Pm 0.4344 0.1023 0.7662
Pm 0.5656 0.8977 0.2338
Pm 0.7662 0.4344 0.1023
Pm 0.8977 0.2338 0.5656
```

#2
La8TbPm6 | GGA-PBE | relaxed Values from VASP.

- crystal system = trigonal
- V (A^3/atom) = 35.69

Quantum ESPRESSO input file:
```
&SYSTEM
  ibrav = 0, nat = 15, ntyp = 3
/
ATOMIC_SPECIES
La 138.91 La.upf
Tb 158.93 Tb.upf
Pm 145.00 Pm.upf
CELL_PARAMETERS angstrom
4.8964 2.8270 6.4464
-4.8964 2.8270 6.4464
0.0000 -5.6539 6.4464
ATOMIC_POSITIONS crystal
La 0.0780 0.0780 0.0780
La 0.1516 0.5788 0.2713
La 0.2713 0.1516 0.5788
La 0.4212 0.7287 0.8484
La 0.5788 0.2713 0.1516
La 0.7287 0.8484 0.4212
La 0.8484 0.4212 0.7287
La 0.9220 0.9220 0.9220
Tb 0.5000 0.5000 0.5000
Pm 0.0821 0.7723 0.5981
Pm 0.2277 0.4019 0.9179
Pm 0.4019 0.9179 0.2277
Pm 0.5981 0.0821 0.7723
Pm 0.7723 0.5981 0.0821
Pm 0.9179 0.2277 0.4019
```

#1 has the most favorable energy; the next structure is 0.112 eV/atom above.

#1
La6Tb2Pm | GGA-PBE | relaxed Values from VASP.

- crystal system = hexagonal
- V (A^3/atom) = 36.01

Quantum ESPRESSO input file:
```
&SYSTEM
  ibrav = 0, nat = 9, ntyp = 3
/
ATOMIC_SPECIES
La 138.91 La.upf
Tb 158.93 Tb.upf
Pm 145.00 Pm.upf
CELL_PARAMETERS angstrom
3.6763 0.0000 0.0000
-1.8382 3.1838 0.0000
0.0000 0.0000 27.6909
ATOMIC_POSITIONS crystal
La 0.0000 0.0000 0.0654
La 0.0000 0.0000 0.2767
La 0.0000 0.0000 0.7233
La 0.0000 0.0000 0.9346
La 0.3333 0.6667 0.3906
La 0.3333 0.6667 0.6094
Tb 0.3333 0.6667 0.1693
Tb 0.3333 0.6667 0.8307
Pm 0.0000 0.0000 0.5000
```

#2
La6Tb2Pm | GGA-PBE | relaxed Values from VASP.

- crystal system = orthorhombic
- V (A^3/atom) = 35.45

Quantum ESPRESSO input file:
```
&SYSTEM
  ibrav = 0, nat = 9, ntyp = 3
/
ATOMIC_SPECIES
La 138.91 La.upf
Tb 158.93 Tb.upf
Pm 145.00 Pm.upf
CELL_PARAMETERS angstrom
4.7747 -9.0217 0.0000
4.7747 9.0217 0.0000
0.0000 0.0000 3.7031
ATOMIC_POSITIONS crystal
La 0.0068 0.3376 0.0000
La 0.1756 0.1756 0.5000
La 0.3376 0.0068 0.0000
La 0.6624 0.9932 0.0000
La 0.8244 0.8244 0.5000
La 0.9932 0.6624 0.0000
Tb 0.3241 0.6759 0.5000
Tb 0.6759 0.3241 0.5000
Pm 0.5000 0.5000 0.0000
```

#1 has the most favorable energy; the next structure is 0.058 eV/atom above.

#1
La2Tb4Pm | GGA-PBE | relaxed Values from VASP.

- crystal system = triclinic
- V (A^3/atom) = 36.08

Quantum ESPRESSO input file:
```
&SYSTEM
  ibrav = 0, nat = 14, ntyp = 3
/
ATOMIC_SPECIES
La 138.91 La.upf
Tb 158.93 Tb.upf
Pm 145.00 Pm.upf
CELL_PARAMETERS angstrom
7.8332 0.0000 0.0000
-0.0017 7.8746 0.0000
-0.0272 -0.0101 8.1888
ATOMIC_POSITIONS crystal
La 0.0000 0.0000 0.0000
La 0.0000 0.0000 0.5000
La 0.0000 0.5000 0.0000
La 0.5000 0.0000 0.0000
Tb 0.2481 0.2556 0.7184
Tb 0.2478 0.7440 0.7183
Tb 0.2493 0.2548 0.2816
Tb 0.2501 0.7461 0.2816
Tb 0.7499 0.2539 0.7184
Tb 0.7507 0.7452 0.7184
Tb 0.7522 0.2560 0.2817
Tb 0.7519 0.7444 0.2816
Pm 0.5000 0.5000 0.0000
Pm 0.5000 0.5000 0.5000
```

#2
La2Tb4Pm | GGA-PBE | relaxed Values from VASP.

- crystal system = tetragonal
- V (A^3/atom) = 34.96

Quantum ESPRESSO input file:
```
&SYSTEM
  ibrav = 0, nat = 7, ntyp = 3
/
ATOMIC_SPECIES
La 138.91 La.upf
Tb 158.93 Tb.upf
Pm 145.00 Pm.upf
CELL_PARAMETERS angstrom
-2.3164 2.3164 11.4024
2.3164 -2.3164 11.4024
2.3164 2.3164 -11.4024
ATOMIC_POSITIONS crystal
La 0.0984 0.0984 0.0000
La 0.9016 0.9016 0.0000
Tb 0.2500 0.7500 0.5000
Tb 0.3602 0.3602 0.0000
Tb 0.6398 0.6398 0.0000
Tb 0.7500 0.2500 0.5000
Pm 0.5000 0.5000 0.0000
```

#2 has the most favorable energy; the next structure is 0.074 eV/atom above.

#1
La2Tb5Pm4 | GGA-PBE | relaxed Values from VASP.

- crystal system = monoclinic
- V (A^3/atom) = 34.12

Quantum ESPRESSO input file:
```
&SYSTEM
  ibrav = 0, nat = 11, ntyp = 3
/
ATOMIC_SPECIES
La 138.91 La.upf
Tb 158.93 Tb.upf
Pm 145.00 Pm.upf
CELL_PARAMETERS angstrom
8.9210 -1.7835 0.0000
8.9210 1.7835 0.0000
-0.9547 0.0000 11.7966
ATOMIC_POSITIONS crystal
La 0.2154 0.2154 0.3515
La 0.7846 0.7846 0.6485
Tb 0.0000 0.0000 0.0000
Tb 0.3233 0.3233 0.9334
Tb 0.4059 0.4059 0.4597
Tb 0.5941 0.5941 0.5403
Tb 0.6767 0.6767 0.0666
Pm 0.1404 0.1404 0.7995
Pm 0.4664 0.4664 0.7433
Pm 0.5336 0.5336 0.2567
Pm 0.8596 0.8596 0.2005
```

#2
La2Tb5Pm4 | GGA-PBE | relaxed Values from VASP.

- crystal system = monoclinic
- V (A^3/atom) = 34.62

Quantum ESPRESSO input file:
```
&SYSTEM
  ibrav = 0, nat = 11, ntyp = 3
/
ATOMIC_SPECIES
La 138.91 La.upf
Tb 158.93 Tb.upf
Pm 145.00 Pm.upf
CELL_PARAMETERS angstrom
8.3852 -3.3829 0.0000
8.3852 3.3829 0.0000
-1.1811 0.0000 6.7126
ATOMIC_POSITIONS crystal
La 0.1997 0.1997 0.2991
La 0.8003 0.8003 0.7009
Tb 0.0000 0.0000 0.5000
Tb 0.1727 0.6515 0.0943
Tb 0.3485 0.8273 0.9057
Tb 0.6515 0.1727 0.0943
Tb 0.8273 0.3485 0.9057
Pm 0.2440 0.2440 0.8056
Pm 0.4133 0.4133 0.5938
Pm 0.5867 0.5867 0.4062
Pm 0.7560 0.7560 0.1944
```

#1 has the most favorable energy; the next structure is 0.075 eV/atom above.

#1
LaPm3Tc | GGA-PBE | relaxed Values from VASP.

- crystal system = cubic
- V (A^3/atom) = 33.82

Quantum ESPRESSO input file:
```
&SYSTEM
  ibrav = 0, nat = 5, ntyp = 3
/
ATOMIC_SPECIES
La 138.91 La.upf
Pm 145.00 Pm.upf
Tc 98.00 Tc.upf
CELL_PARAMETERS angstrom
5.5298 0.0000 0.0000
0.0000 5.5298 0.0000
0.0000 0.0000 5.5298
ATOMIC_POSITIONS crystal
La 0.0000 0.0000 0.0000
Pm 0.0000 0.5000 0.5000
Pm 0.5000 0.0000 0.5000
Pm 0.5000 0.5000 0.0000
Tc 0.5000 0.5000 0.5000
```

#2
LaPm3Tc | GGA-PBE | relaxed Values from VASP.

- crystal system = monoclinic
- V (A^3/atom) = 30.79

Quantum ESPRESSO input file:
```
&SYSTEM
  ibrav = 0, nat = 10, ntyp = 3
/
ATOMIC_SPECIES
La 138.91 La.upf
Pm 145.00 Pm.upf
Tc 98.00 Tc.upf
CELL_PARAMETERS angstrom
6.2126 -2.0162 0.0000
6.2126 2.0162 0.0000
-4.9572 0.0000 12.2909
ATOMIC_POSITIONS crystal
La 0.0000 0.0000 0.0000
La 0.1052 0.1052 0.2793
Pm 0.3097 0.3097 0.7643
Pm 0.3272 0.3272 0.1405
Pm 0.6418 0.6418 0.5303
Pm 0.6717 0.6717 0.9021
Pm 0.8635 0.8635 0.3908
Pm 0.9793 0.9793 0.6657
Tc 0.3053 0.3053 0.5307
Tc 0.6656 0.6656 0.1454
```

#2 has the most favorable energy; the next structure is 0.152 eV/atom above.

#1
LaPm2Tc | GGA-PBE | relaxed Values from VASP.

- crystal system = tetragonal
- V (A^3/atom) = 29.10

Quantum ESPRESSO input file:
```
&SYSTEM
  ibrav = 0, nat = 4, ntyp = 3
/
ATOMIC_SPECIES
La 138.91 La.upf
Pm 145.00 Pm.upf
Tc 98.00 Tc.upf
CELL_PARAMETERS angstrom
3.5292 0.0000 0.0000
0.0000 3.5292 0.0000
0.0000 0.0000 9.3439
ATOMIC_POSITIONS crystal
La 0.0000 0.0000 0.0000
Pm 0.5000 0.5000 0.3183
Pm 0.5000 0.5000 0.6817
Tc 0.0000 0.0000 0.5000
```

#2
LaPm2Tc | GGA-PBE | relaxed Values from VASP.

- crystal system = trigonal
- V (A^3/atom) = 29.25

Quantum ESPRESSO input file:
```
&SYSTEM
  ibrav = 0, nat = 4, ntyp = 3
/
ATOMIC_SPECIES
La 138.91 La.upf
Pm 145.00 Pm.upf
Tc 98.00 Tc.upf
CELL_PARAMETERS angstrom
1.7288 0.9981 11.3026
-1.7288 0.9981 11.3026
0.0000 -1.9962 11.3026
ATOMIC_POSITIONS crystal
La 0.0000 0.0000 0.0000
Pm 0.4256 0.4256 0.4256
Pm 0.5744 0.5744 0.5744
Tc 0.5000 0.5000 0.5000
```

#1 has the most favorable energy; the next structure is 0.563 eV/atom above.

#1
LaPmTc | GGA-PBE | relaxed Values from VASP.

- crystal system = tetragonal
- V (A^3/atom) = 28.26

Quantum ESPRESSO input file:
```
&SYSTEM
  ibrav = 0, nat = 3, ntyp = 3
/
ATOMIC_SPECIES
La 138.91 La.upf
Pm 145.00 Pm.upf
Tc 98.00 Tc.upf
CELL_PARAMETERS angstrom
-1.7639 1.7639 6.8126
1.7639 -1.7639 6.8126
1.7639 1.7639 -6.8126
ATOMIC_POSITIONS crystal
La 0.0000 0.0000 0.0000
Pm 0.2505 0.2505 0.0000
Tc 0.6265 0.6265 0.0000
```

#2
LaPmTc | GGA-PBE | relaxed Values from VASP.

- crystal system = monoclinic
- V (A^3/atom) = 28.90

Quantum ESPRESSO input file:
```
&SYSTEM
  ibrav = 0, nat = 6, ntyp = 3
/
ATOMIC_SPECIES
La 138.91 La.upf
Pm 145.00 Pm.upf
Tc 98.00 Tc.upf
CELL_PARAMETERS angstrom
5.4108 0.0000 0.0000
0.0000 5.2273 0.0000
-0.8487 0.0000 6.1305
ATOMIC_POSITIONS crystal
La 0.0534 0.2500 0.3019
La 0.9466 0.7500 0.6981
Pm 0.4892 0.2500 0.8201
Pm 0.5108 0.7500 0.1799
Tc 0.3890 0.7500 0.6093
Tc 0.6110 0.2500 0.3907
```

#1 has the most favorable energy; the next structure is 0.034 eV/atom above.